No. 1
The following is a DFT calculation (PBE-GGA) of a geometry-optimized TaGa structure.

**ΔE_f**: 1.1364 eV/atom
**V**: 34.75 A^3/atom
**Final energy**: -6.303 eV per atom
**DOS(E_F)**: 0.89 states/eV/atom

a b c (Å): 8.223 8.223 8.223
angles (deg): 90.00 90.00 90.00
Space group I-43m (No. 217)
Asymmetric unit:
Ta 0.116 0.116 0.884 (multiplicity 8)
Ga 0.197 0.197 0.197 (multiplicity 8)

=====

No. 2
The following is a DFT calculation (PBE-GGA) of a geometry-optimized CaIn2Hg3 structure.

**ΔE_f**: -0.2413 eV/atom
**V**: 25.98 A^3/atom
**Final energy**: -1.639 eV per atom
**DOS(E_F)**: 0.34 states/eV/atom

a b c (Å): 5.157 16.375 7.384
angles (deg): 90.00 90.00 90.00
Space group Cmmm (No. 65)
Asymmetric unit:
Ca 0.000 0.159 0.000 (multiplicity 4)
In 0.000 0.156 0.500 (multiplicity 4)
In 0.000 0.500 0.000 (multiplicity 2)
In 0.000 0.500 0.500 (multiplicity 2)
Hg 0.000 0.000 0.249 (multiplicity 4)
Hg 0.000 0.325 0.254 (multiplicity 8)

=====

No. 3
The following is a DFT calculation (PBE-GGA) of a geometry-optimized DyHoPI structure.

**V**: 26.23 A^3/atom
**Uncorrected formation energy**: -1.29 eV/atom
**Final energy**: -5.325 eV per atom
**DOS(E_F)**: 0.25 states/eV/atom

a b c (Å): 4.0398 4.0398 22.2670
angles (deg): 90.00 90.00 120.00
Space group R3m (No. 160, hexagonal axes)
Asymmetric unit:
Dy 0.0000 0.0000 0.0000 (multiplicity 3)
Ho 0.0000 0.0000 0.2069 (multiplicity 3)
P 0.0000 0.0000 0.6011 (multiplicity 3)
I 0.0000 0.0000 0.7714 (multiplicity 3)

=====

Theoretical density? In order: 6.0, 9.3, 7.7 g/cm³.